Density functional theory data (PBE) for a relaxed structure of Ba2Be2Br.

extended XYZ file:
```
10
Lattice="9.1007 0.0000 0.0000 0.0000 9.1007 0.0000 0.0000 0.0000 4.1967" Properties=species:S:1:pos:R:3 pbc="T T T"
Ba 1.7865 2.7639 0.0000
Ba 2.7639 7.3142 0.0000
Ba 6.3368 1.7865 0.0000
Ba 7.3142 6.3368 0.0000
Be 0.7129 5.2633 2.0984
Be 3.8374 0.7129 2.0984
Be 5.2633 8.3878 2.0984
Be 8.3878 3.8374 2.0984
Br 0.0000 0.0000 0.0000
Br 4.5503 4.5503 0.0000
```

relative energy among the computed polymorphs = 0.000 eV/f.u.
final energy = -26.71 eV/cell
raw formation energy = -1.78 kcal/mol of atoms
space group = No. 127